No. 1
## IrPt2Cl (PBE)

Data for an optimized crystal structure of IrPt2Cl.

## Properties
The value obtained for the uncorrected formation energy is 0.42 eV/atom. For the density of states at the Fermi level, the calculation gives 4.1 states/eV per cell. As for the space-group type: No. 25.

POSCAR file:
```
IrPt2Cl
1.0
2.763 0.000 0.000
0.000 4.795 0.000
0.000 0.000 4.888
Ir Pt Cl
1 2 1
Cartesian
0.000 0.000 0.000 Ir
0.000 2.398 2.492 Pt
1.381 0.000 2.451 Pt
0.000 2.398 0.055 Cl
```

No. 2
## LaAlHg (PBE)

Data for an optimized crystal structure of LaAlHg.

## Properties
For the density of states at the Fermi level, the calculation gives 5.7 states/eV per cell. As for the space-group type: No. 44.

POSCAR file:
```
LaAlHg
1.0
3.626 0.000 0.000
0.000 4.661 0.000
0.000 0.000 9.472
La Al Hg
2 2 2
Cartesian
0.000 0.000 0.000 La
1.813 2.330 4.736 La
0.000 0.000 6.189 Al
1.813 2.330 1.452 Al
0.000 0.000 3.119 Hg
1.813 2.330 7.856 Hg
```

No. 3
## YZn5Au3 (PBE)

Data for an optimized crystal structure of YZn5Au3.

## Properties
For the density of states at the Fermi level, the calculation gives 7.0 states/eV per cell. As for the space-group type: No. 63.

POSCAR file:
```
YZn5Au3
1.0
2.076 -6.777 0.000
2.076 6.777 0.000
0.000 0.000 12.051
Y Zn Au
2 10 6
Cartesian
2.076 4.220 9.038 Y
2.076 -4.220 3.013 Y
0.000 0.000 0.000 Zn
0.000 0.000 6.025 Zn
2.076 4.141 0.463 Zn
2.076 4.141 5.563 Zn
2.076 0.957 7.710 Zn
2.076 0.957 10.367 Zn
2.076 -0.957 1.684 Zn
2.076 -0.957 4.341 Zn
2.076 -4.141 6.488 Zn
2.076 -4.141 11.588 Zn
2.076 4.844 3.013 Au
2.076 1.561 1.004 Au
2.076 1.561 5.021 Au
2.076 -1.561 7.030 Au
2.076 -1.561 11.047 Au
2.076 -4.844 9.038 Au
```

no.,raw total energy (eV/cell)
1,-21.103
2,-18.913
3,-51.259